# 1
An optimized crystal structure of CrCoSe2N. Source: the Alexandria database, functional PBE-GGA.

Energy relative to the lowest polymorph listed for this composition = 0.135 eV/atom
E_form (uncorrected) = 485 meV/atom
Uncorrected energy = -5.92 eV per atom
V = 84.9 Å³/f.u.

Cell: 4.9367 4.9367 3.4836 Å, 90.00 90.00 90.00°
Closest atoms and distances in Å follow each position.
Fractional positions:
Cr  0.0000  0.0000  0.0000  2 N 1.74
Co  0.5000  0.5000  0.5000  8 Se 3.02
Se  0.0000  0.5000  0.0000  2 Cr 2.47
Se  0.5000  0.0000  0.0000  2 Cr 2.47
N  0.0000  0.0000  0.5000  2 Cr 1.74

---

# 2
An optimized crystal structure of ThCdHgAu. Source: the Alexandria database, functional PBE-GGA.

Uncorrected energy = -3.40 eV per atom
Energy relative to the elements = -0.4234 eV/atom
V = 95.3 Å³/f.u.

Cell: 5.1280 5.1280 5.1280 Å, 60.00 60.00 60.00°
Closest atoms and distances in Å follow each position.
Fractional positions:
Au  0.0000  0.0000  0.0000  4 Th 3.14, 4 Cd 3.14
Hg  0.5000  0.5000  0.5000  4 Cd 3.14, 4 Th 3.14
Th  0.2500  0.2500  0.2500  4 Au 3.14, 4 Hg 3.14
Cd  0.7500  0.7500  0.7500  4 Hg 3.14, 4 Au 3.14

---

# 3
An optimized crystal structure of Er5Bi5Te. Source: the Alexandria database, functional PBE-GGA.

E_form (uncorrected) = -718 meV/atom
Uncorrected energy = -4.84 eV per atom
V = 358.5 Å³/f.u.

Cell: 6.1670 7.6135 8.8202 Å, 107.11 90.00 113.89°
Closest atoms and distances in Å follow each position.
Fractional positions:
Er  0.8266  0.6532  0.1647  5 Bi 3.09-3.22, 1 Te 3.19
Er  0.8314  0.6628  0.6654  5 Bi 3.09-3.14, 1 Te 3.12
Er  0.5000  0.0000  0.0000  2 Te 3.08, 4 Bi 3.09-3.11
Er  0.1686  0.3372  0.3346  5 Bi 3.09-3.14, 1 Te 3.12
Er  0.1734  0.3468  0.8353  5 Bi 3.09-3.22, 1 Te 3.19
Bi  0.6569  0.3138  0.3400  5 Er 3.09-3.21
Bi  0.6569  0.3137  0.8163  5 Er 3.09-3.22
Bi  0.0000  0.0000  0.5000  4 Er 3.14-3.16
Bi  0.3431  0.6863  0.1837  5 Er 3.09-3.22
Bi  0.3431  0.6862  0.6600  5 Er 3.09-3.21
Te  0.0000  0.0000  0.0000  6 Er 3.08-3.19

---

# 4
An optimized crystal structure of Y2ZrTiH. Source: the Alexandria database, functional PBE-GGA.

Uncorrected energy = -6.52 eV per atom
V = 102.4 Å³/f.u.

Cell: 4.7346 4.7346 4.5665 Å, 90.00 90.00 90.00°
Closest atoms and distances in Å follow each position.
Fractional positions:
Y  0.0000  0.5000  0.0000  2 H 2.37
Y  0.5000  0.0000  0.0000  2 H 2.37
H  0.0000  0.0000  0.0000  2 Ti 2.28, 4 Y 2.37
Zr  0.5000  0.5000  0.5000  8 Y 3.29, 4 Ti 3.35
Ti  0.0000  0.0000  0.5000  2 H 2.28

---

# 5
An optimized crystal structure of Ca6CdGe2. Source: the Alexandria database, functional PBE-GGA.

Uncorrected energy = -2.89 eV per atom
Energy relative to the elements = -0.4238 eV/atom
V = 275.9 Å³/f.u.

Cell: 8.9638 8.9638 8.9638 Å, 104.90 112.20 111.40°
Closest atoms and distances in Å follow each position.
Fractional positions:
Ca  0.4614  0.2801  0.1813  3 Ge 3.14-3.25, 1 Cd 3.36
Ca  0.5386  0.7199  0.8187  3 Ge 3.14-3.25, 1 Cd 3.36
Ca  0.9013  0.7199  0.1813  3 Ge 3.14-3.25, 1 Cd 3.36
Ca  0.0987  0.2801  0.8187  3 Ge 3.14-3.25, 1 Cd 3.36
Ca  0.1986  0.7536  0.9522  2 Ge 3.04-3.36, 2 Cd 3.34-3.41
Ca  0.8014  0.2464  0.0478  2 Ge 3.04-3.36, 2 Cd 3.34-3.41
Ca  0.8014  0.7536  0.5550  2 Ge 3.04-3.36, 2 Cd 3.34-3.41
Ca  0.1986  0.2464  0.4450  2 Ge 3.04-3.36, 2 Cd 3.34-3.41
Ca  0.3111  0.9809  0.6698  3 Ge 3.01-3.10
Ca  0.6889  0.0191  0.3302  3 Ge 3.01-3.10
Ca  0.6889  0.3587  0.6698  3 Ge 3.01-3.10
Ca  0.3111  0.6413  0.3302  3 Ge 3.01-3.10
Cd  0.0000  0.5000  0.5000  8 Ca 3.41-3.65
Cd  0.0000  0.0000  0.0000  8 Ca 3.34-3.36, 2 Ge 3.41
Ge  0.5000  0.3823  0.8823  1 Ge 2.57
Ge  0.5000  0.6177  0.1177  1 Ge 2.57
Ge  0.3408  0.0000  0.3408  8 Ca 3.04-3.25, 1 Ge 3.18, 1 Cd 3.41
Ge  0.6592  0.0000  0.6592  8 Ca 3.04-3.25, 1 Ge 3.18, 1 Cd 3.41

---

# 6
An optimized crystal structure of RbHfIN2. Source: the Alexandria database, functional PBE-GGA.

Energy relative to the lowest polymorph listed for this composition = 0.000 eV/atom
E_form (uncorrected) = -35 meV/atom
Uncorrected energy = -5.86 eV per atom
V = 116.2 Å³/f.u.

Cell: 4.3943 4.3943 6.0185 Å, 90.00 90.00 90.00°
Closest atoms and distances in Å follow each position.
Fractional positions:
I  0.0000  0.0000  0.5000  2 Hf 3.01, 4 Rb 3.11
Hf  0.0000  0.0000  0.0000  4 N 2.20
Rb  0.5000  0.5000  0.5000  4 I 3.11
N  0.0000  0.5000  0.0000  2 Hf 2.20
N  0.5000  0.0000  0.0000  2 Hf 2.20

---

# 7
An optimized crystal structure of Na2Bi5Au3. Source: the Alexandria database, functional PBE-GGA.

Energy relative to the lowest polymorph listed for this composition = 0.058 eV/atom
Uncorrected energy = -3.29 eV per atom
Energy relative to the elements = -0.1074 eV/atom
V = 303.2 Å³/f.u.

Cell: 7.5353 9.7577 9.7577 Å, 75.69 67.29 67.29°
Closest atoms and distances in Å follow each position.
Fractional positions:
Na  0.1583  0.5774  0.1060  1 Au 3.30, 2 Bi 3.50-3.57
Na  0.6583  0.1060  0.5774  1 Au 3.30, 2 Bi 3.50-3.57
Na  0.8417  0.4226  0.8940  1 Au 3.30, 2 Bi 3.50-3.57
Na  0.3417  0.8940  0.4226  1 Au 3.30, 2 Bi 3.50-3.57
Bi  0.4153  0.2447  0.9247  3 Au 2.86-2.92
Bi  0.9153  0.9247  0.2447  3 Au 2.86-2.92
Bi  0.5847  0.7553  0.0753  3 Au 2.86-2.92
Bi  0.0847  0.0753  0.7553  3 Au 2.86-2.92
Bi  0.4763  0.7737  0.7737  3 Au 2.92-3.04
Bi  0.5237  0.2263  0.2263  3 Au 2.92-3.04
Bi  0.7500  0.5000  0.5000  4 Au 2.96
Bi  0.2500  0.5000  0.5000  4 Au 2.96
Bi  0.0237  0.2263  0.2263  3 Au 2.92-3.04
Bi  0.9763  0.7737  0.7737  3 Au 2.92-3.04
Au  0.3611  0.5298  0.7480  5 Bi 2.86-2.96
Au  0.8611  0.7480  0.5298  5 Bi 2.86-2.96
Au  0.6389  0.4702  0.2520  5 Bi 2.86-2.96
Au  0.1389  0.2520  0.4702  5 Bi 2.86-2.96
Au  0.2500  0.0000  0.0000  6 Bi 2.92-3.04
Au  0.7500  0.0000  0.0000  6 Bi 2.92-3.04

---

# 8
An optimized crystal structure of BTe2IrRu. Source: the Alexandria database, functional PBE-GGA.

E_form (uncorrected) = 987 meV/atom
Uncorrected energy = -5.23 eV per atom
V = 102.0 Å³/f.u.

Cell: 5.1576 5.1576 3.8351 Å, 90.00 90.00 90.00°
Closest atoms and distances in Å follow each position.
Fractional positions:
Ru  0.0000  0.0000  0.0000  2 B 1.92
B  0.0000  0.0000  0.5000  2 Ru 1.92
Ir  0.5000  0.5000  0.5000  8 Te 3.21
Te  0.0000  0.5000  0.0000  2 Ru 2.58
Te  0.5000  0.0000  0.0000  2 Ru 2.58

---

# 9
An optimized crystal structure of ScHgI3. Source: the Alexandria database, functional PBE-GGA.

Energy relative to the lowest polymorph listed for this composition = 0.139 eV/atom
E_form (uncorrected) = -833 meV/atom
Uncorrected energy = -3.09 eV per atom
V = 261.8 Å³/f.u.

Cell: 4.4963 7.8853 7.8853 Å, 110.55 90.00 90.00°
Closest atoms and distances in Å follow each position.
Fractional positions:
I  0.5000  0.1491  0.3408  1 Sc 2.65
I  0.5000  0.6592  0.8509  1 Sc 2.65
I  0.0000  0.1532  0.8468  2 Sc 2.86
Sc  0.5000  0.0174  0.9826  4 I 2.65-2.86
Hg  0.0000  0.6492  0.3508  10 I 4.49-4.56, 2 Hg 4.50

---

# 10
An optimized crystal structure of TmHfGa2. Source: the Alexandria database, functional PBE-GGA.

Energy relative to the lowest polymorph listed for this composition = 0.152 eV/atom
Uncorrected energy = -5.42 eV per atom
Energy relative to the elements = -0.3036 eV/atom
V = 86.5 Å³/f.u.

Cell: 3.4407 3.4407 8.6722 Å, 78.56 78.56 60.00°
Closest atoms and distances in Å follow each position.
Fractional positions:
Tm  0.5000  0.5000  0.5000  6 Ga 2.96
Hf  0.0000  0.0000  0.0000  6 Ga 2.84
Ga  0.7466  0.7466  0.7601  3 Hf 2.84, 3 Tm 2.96
Ga  0.2534  0.2534  0.2399  3 Hf 2.84, 3 Tm 2.96

---

# 11
An optimized crystal structure of CrBRu3. Source: the Alexandria database, functional PBE-GGA.

Energy relative to the lowest polymorph listed for this composition = 0.000 eV/atom
Uncorrected energy = -8.70 eV per atom
Energy relative to the elements = 0.1299 eV/atom
V = 65.7 Å³/f.u.

Cell: 4.0357 4.0357 4.0357 Å, 90.00 90.00 90.00°
Closest atoms and distances in Å follow each position.
Fractional positions:
Ru  0.0000  0.5000  0.0000  2 B 2.02
Ru  0.0000  0.0000  0.5000  2 B 2.02
Ru  0.5000  0.0000  0.0000  2 B 2.02
B  0.0000  0.0000  0.0000  6 Ru 2.02
Cr  0.5000  0.5000  0.5000  12 Ru 2.85

---

# 12
An optimized crystal structure of Sr2MnTlAg. Source: the Alexandria database, functional PBE-GGA.

Uncorrected energy = -3.20 eV per atom
Energy relative to the elements = 0.3504 eV/atom
V = 174.3 Å³/f.u.

Cell: 5.9224 4.9700 5.9224 Å, 90.00 90.00 90.00°
Closest atoms and distances in Å follow each position.
Fractional positions:
Sr  0.0000  0.0000  0.5000  2 Mn 2.96
Sr  0.5000  0.0000  0.0000  2 Mn 2.96
Tl  0.5000  0.5000  0.5000  8 Sr 3.87, 4 Ag 4.19
Mn  0.0000  0.0000  0.0000  2 Ag 2.48
Ag  0.0000  0.5000  0.0000  2 Mn 2.48

---

# 13
An optimized crystal structure of InGe3Te. Source: the Alexandria database, functional PBE-GGA.

Energy relative to the lowest polymorph listed for this composition = 0.000 eV/atom
E_form (uncorrected) = 763 meV/atom
Uncorrected energy = -3.18 eV per atom
V = 147.1 Å³/f.u.

Cell: 5.2790 5.2790 5.2790 Å, 90.00 90.00 90.00°
Closest atoms and distances in Å follow each position.
Fractional positions:
Ge  0.0000  0.5000  0.0000  2 In 2.64
Ge  0.0000  0.0000  0.5000  2 In 2.64
Ge  0.5000  0.0000  0.0000  2 In 2.64
Te  0.5000  0.5000  0.5000  12 Ge 3.73
In  0.0000  0.0000  0.0000  6 Ge 2.64

---

# 14
An optimized crystal structure of Na2CdBi. Source: the Alexandria database, functional PBE-GGA.

Energy relative to the lowest polymorph listed for this composition = 0.043 eV/atom
Uncorrected energy = -2.04 eV per atom
Energy relative to the elements = -0.1824 eV/atom
V = 112.1 Å³/f.u.

Cell: 7.0839 9.5309 8.1743 Å, 125.67 90.00 90.00°
Closest atoms and distances in Å follow each position.
Fractional positions:
Na  0.7497  0.9997  0.9996  2 Bi 3.32, 4 Cd 3.38-3.39, 6 Na 3.42-3.55
Na  0.2497  0.5003  0.0004  2 Bi 3.32, 4 Cd 3.38-3.39, 6 Na 3.42-3.55
Na  0.2503  0.0003  0.0004  2 Bi 3.32, 4 Cd 3.38-3.39, 6 Na 3.42-3.55
Na  0.7503  0.4997  0.9996  2 Bi 3.32, 4 Cd 3.38-3.39, 6 Na 3.42-3.55
Na  0.0002  0.6215  0.7427  5 Na 3.22-3.43, 3 Cd 3.33-3.54, 4 Bi 3.38
Na  0.5002  0.8785  0.2573  5 Na 3.22-3.43, 3 Cd 3.33-3.54, 4 Bi 3.38
Na  0.9998  0.3785  0.2573  5 Na 3.22-3.43, 3 Cd 3.33-3.54, 4 Bi 3.38
Na  0.4998  0.1215  0.7427  5 Na 3.22-3.43, 3 Cd 3.33-3.54, 4 Bi 3.38
Cd  0.4999  0.3726  0.2449  7 Na 3.33-3.54, 1 Cd 3.39, 4 Bi 3.41-3.42
Cd  0.9999  0.1274  0.7551  7 Na 3.33-3.54, 1 Cd 3.39, 4 Bi 3.41-3.42
Cd  0.5001  0.6274  0.7551  7 Na 3.33-3.54, 1 Cd 3.39, 4 Bi 3.41-3.42
Cd  0.0001  0.8726  0.2449  7 Na 3.33-3.54, 1 Cd 3.39, 4 Bi 3.41-3.42
Bi  0.2494  0.2500  0.5003  6 Na 3.32-3.38, 4 Cd 3.41-3.42, 2 Bi 3.54
Bi  0.7494  0.2500  0.4997  6 Na 3.32-3.38, 4 Cd 3.41-3.42, 2 Bi 3.54
Bi  0.7506  0.7500  0.4997  6 Na 3.32-3.38, 4 Cd 3.41-3.42, 2 Bi 3.54
Bi  0.2506  0.7500  0.5003  6 Na 3.32-3.38, 4 Cd 3.41-3.42, 2 Bi 3.54

---

# 15
An optimized crystal structure of SrCa2MgTe. Source: the Alexandria database, functional PBE-GGA.

E_form (uncorrected) = -257 meV/atom
Uncorrected energy = -2.34 eV per atom
V = 210.2 Å³/f.u.

Cell: 5.9673 5.9037 5.9673 Å, 90.00 90.00 90.00°
Closest atoms and distances in Å follow each position.
Fractional positions:
Sr  0.5000  0.5000  0.5000  8 Ca 4.20, 4 Mg 4.22
Ca  0.0000  0.0000  0.5000  2 Te 2.98
Ca  0.5000  0.0000  0.0000  2 Te 2.98
Te  0.0000  0.0000  0.0000  2 Mg 2.95, 4 Ca 2.98
Mg  0.0000  0.5000  0.0000  2 Te 2.95

---

# 16
An optimized crystal structure of MgNiIr. Source: the Alexandria database, functional PBE-GGA.

Energy relative to the lowest polymorph listed for this composition = 0.000 eV/atom
Uncorrected energy = -5.68 eV per atom
Energy relative to the elements = -0.2716 eV/atom
V = 44.6 Å³/f.u.

Cell: 5.0251 5.0251 5.0251 Å, 89.63 118.19 122.28°
Closest atoms and distances in Å follow each position.
Fractional positions:
Mg  0.2500  0.1257  0.8757  6 Ir 2.89-2.96, 6 Ni 2.94-2.99, 4 Mg 3.00-3.14
Mg  0.7500  0.8743  0.1243  6 Ir 2.89-2.96, 6 Ni 2.94-2.99, 4 Mg 3.00-3.14
Ni  0.0000  0.5000  0.5000  2 Ni 2.43, 4 Ir 2.51
Ni  0.5000  0.0000  0.5000  2 Ni 2.43, 4 Ir 2.51
Ir  0.5000  0.5000  0.5000  4 Ni 2.51, 2 Ir 2.58
Ir  0.0000  0.5000  0.0000  4 Ni 2.51, 2 Ir 2.58

---

# 17
An optimized crystal structure of YZrTa2C. Source: the Alexandria database, functional PBE-GGA.

Uncorrected energy = -9.63 eV per atom
Energy relative to the elements = -0.0447 eV/atom
V = 93.3 Å³/f.u.

Cell: 4.3987 4.8247 4.3987 Å, 90.00 90.00 90.00°
Closest atoms and distances in Å follow each position.
Fractional positions:
Y  0.5000  0.5000  0.5000  4 Zr 3.11, 8 Ta 3.26
C  0.0000  0.0000  0.0000  4 Ta 2.20, 2 Zr 2.41
Zr  0.0000  0.5000  0.0000  2 C 2.41
Ta  0.0000  0.0000  0.5000  2 C 2.20
Ta  0.5000  0.0000  0.0000  2 C 2.20

---

# 18
An optimized crystal structure of CoMoHRh2. Source: the Alexandria database, functional PBE-GGA.

Energy relative to the lowest polymorph listed for this composition = 0.058 eV/atom
Uncorrected energy = -7.16 eV per atom
V = 57.6 Å³/f.u.

Cell: 3.8232 3.8232 3.9378 Å, 90.00 90.00 90.00°
Closest atoms and distances in Å follow each position.
Fractional positions:
Co  0.5000  0.5000  0.5000  4 Mo 2.70, 8 Rh 2.74
Mo  0.0000  0.0000  0.5000  2 H 1.97
Rh  0.0000  0.5000  0.0000  2 H 1.91
Rh  0.5000  0.0000  0.0000  2 H 1.91
H  0.0000  0.0000  0.0000  4 Rh 1.91, 2 Mo 1.97

---

# 19
An optimized crystal structure of SrSCl2. Source: the Alexandria database, functional PBE-GGA.

Energy relative to the lowest polymorph listed for this composition = 0.000 eV/atom
E_form (uncorrected) = -1263 meV/atom
Uncorrected energy = -3.64 eV per atom
V = 96.8 Å³/f.u.

Cell: 4.9455 4.9455 4.9455 Å, 66.11 66.11 66.11°
Closest atoms and distances in Å follow each position.
Fractional positions:
Sr  0.5000  0.5000  0.5000  8 Cl 3.15-3.39
S  0.0000  0.0000  0.0000  2 Cl 2.38
Cl  0.7939  0.7939  0.7939  1 S 2.38
Cl  0.2061  0.2061  0.2061  1 S 2.38

---

# 20
An optimized crystal structure of SmEr2Lu. Source: the Alexandria database, functional PBE-GGA.

Energy relative to the lowest polymorph listed for this composition = 0.001 eV/atom
Uncorrected energy = -4.56 eV per atom
Energy relative to the elements = 0.0283 eV/atom
V = 123.9 Å³/f.u.

Cell: 3.5207 3.5207 9.9999 Å, 90.00 90.00 90.00°
Closest atoms and distances in Å follow each position.
Fractional positions:
Lu  0.5000  0.5000  0.0000  8 Er 3.49, 4 Lu 3.52
Sm  0.5000  0.5000  0.5000  4 Sm 3.52, 8 Er 3.57
Er  0.0000  0.0000  0.7553  4 Lu 3.49, 4 Er 3.52, 4 Sm 3.57
Er  0.0000  0.0000  0.2447  4 Lu 3.49, 4 Er 3.52, 4 Sm 3.57